This record from Alexandria via LeMat-Bulk describes KBaMnO3 after structural relaxation. The functional is PBE with a Hubbard U.

a = 6.129 Å, b = 12.169 Å, c = 5.522 Å
α = 90.00°, β = 101.37°, γ = 90.00°
Space group C2/c (No. 15)
Unique sites:
K (0.000, 0.067, 0.250)
Ba (0.000, 0.262, 0.750)
Mn (0.000, 0.441, 0.250)
O (0.000, 0.280, 0.250)
O (0.185, 0.441, 0.999)

Properties
M_tot ... 16.0 Bohr magnetons per cell
Energy ... -6.08 eV/atom

=====

This record from Alexandria via LeMat-Bulk describes KBaMnO4 after structural relaxation. The functional is PBE with a Hubbard U.

a = 7.897 Å, b = 5.910 Å, c = 10.458 Å
α = 90.00°, β = 90.00°, γ = 90.00°
Space group Pnma (No. 62)
Unique sites:
K (0.160, 0.250, 0.078)
Ba (0.006, 0.750, 0.307)
Mn (0.231, 0.250, 0.418)
O (0.014, 0.250, 0.422)
O (0.194, 0.750, 0.073)
O (0.202, 0.510, 0.841)

Properties
M_tot ... 8.0 Bohr magnetons per cell
Energy ... -6.16 eV/atom

=====

This record from Alexandria via LeMat-Bulk describes KBaMnO4 after structural relaxation. The functional is PBE with a Hubbard U.

a = 9.265 Å, b = 9.265 Å, c = 9.265 Å
α = 90.00°, β = 90.00°, γ = 90.00°
Space group F-43m (No. 216)
Unique sites:
K (0.000, 0.000, 0.000)
Ba (0.250, 0.250, 0.250)
Mn (0.250, 0.250, 0.750)
O (0.144, 0.144, 0.856)

Properties
M_tot ... 8.0 Bohr magnetons per cell
Energy ... -5.50 eV/atom

=====

This record from Alexandria via LeMat-Bulk describes KBa2MnO4 after structural relaxation. The functional is PBE with a Hubbard U.

a = 3.807 Å, b = 13.793 Å, c = 13.135 Å
α = 90.00°, β = 90.00°, γ = 90.00°
Space group Cmcm (No. 63)
Unique sites:
K (0.000, 0.123, 0.250)
Ba (0.000, 0.371, 0.038)
Mn (0.000, 0.193, 0.750)
O (0.000, 0.000, 0.000)
O (0.000, 0.256, 0.623)
O (0.000, 0.352, 0.250)

Properties
M_tot ... 15.9 Bohr magnetons per cell
Energy ... -5.99 eV/atom

=====

This record from Alexandria via LeMat-Bulk describes KBaSmMnO6 after structural relaxation. The functional is PBE with a Hubbard U.

a = 8.448 Å, b = 8.448 Å, c = 8.448 Å
α = 90.00°, β = 90.00°, γ = 90.00°
Space group F-43m (No. 216)
Unique sites:
K (0.000, 0.000, 0.000)
Ba (0.000, 0.000, 0.500)
Sm (0.250, 0.250, 0.750)
Mn (0.250, 0.250, 0.250)
O (0.023, 0.250, 0.250)

Properties
M_tot ... 20.1 Bohr magnetons per cell
Energy ... -6.46 eV/atom